Entry from the Alexandria database: crystalline RbFeCuF6 at its relaxed geometry (PBEsol).

The calculation puts the uncorrected formation energy at -2.110 eV per atom. The density of states at the Fermi level comes out at 3.718 states/eV/f.u. The symmetry is No. 74. The value obtained for the density is 3.9 g/cm3.

Structure (POSCAR):
```
RbFeCuF6
1.0
-3.541 3.700 5.168
3.541 -3.700 5.168
3.541 3.700 -5.168
Rb Fe Cu F
2 2 2 12
Cartesian
0.000 1.850 1.091 Rb
3.541 1.850 4.077 Rb
3.541 0.000 0.000 Fe
0.000 0.000 5.168 Fe
1.771 1.850 -2.584 Cu
1.771 -1.850 2.584 Cu
2.167 -0.365 1.261 F
4.916 -0.365 1.261 F
3.541 -1.850 3.336 F
3.541 1.850 0.696 F
2.167 3.335 -1.261 F
1.374 -0.365 3.907 F
2.167 4.065 1.261 F
1.374 0.365 6.429 F
0.000 1.850 4.472 F
0.000 5.550 1.832 F
-1.374 4.065 3.907 F
1.374 4.065 3.907 F
```


Entry from the Alexandria database: crystalline Fe2CuSnF at its relaxed geometry (PBEsol).

The calculation puts the uncorrected formation energy at 1.155 eV per atom. The density of states at the Fermi level comes out at 11.216 states/eV/f.u. The symmetry is No. 123. The value obtained for the density is 4.5 g/cm3.

Structure (POSCAR):
```
Fe2CuSnF
1.0
4.935 0.000 0.000
0.000 4.935 0.000
0.000 0.000 4.711
Fe Cu Sn F
2 1 1 1
Cartesian
0.000 2.468 0.000 Fe
2.468 0.000 0.000 Fe
0.000 0.000 2.356 Cu
0.000 0.000 0.000 Sn
2.468 2.468 2.356 F
```


Entry from the Alexandria database: crystalline K2GaCuF6 at its relaxed geometry (PBEsol).

The calculation puts the uncorrected formation energy at -2.410 eV per atom. The density of states at the Fermi level comes out at 5.396 states/eV/f.u. The symmetry is No. 225. The value obtained for the density is 4.0 g/cm3.

Structure (POSCAR):
```
K2GaCuF6
1.0
0.000 4.081 4.081
4.081 0.000 4.081
4.081 4.081 0.000
K Ga Cu F
2 1 1 6
Cartesian
2.040 2.040 2.040 K
6.121 6.121 6.121 K
0.000 0.000 0.000 Ga
4.081 4.081 4.081 Cu
4.081 4.081 1.917 F
4.081 1.917 4.081 F
6.244 4.081 4.081 F
1.917 4.081 4.081 F
4.081 6.244 4.081 F
4.081 4.081 6.244 F
```


Entry from the Alexandria database: crystalline GaCuO2F at its relaxed geometry (PBEsol).

The calculation puts the uncorrected formation energy at -0.630 eV per atom. The density of states at the Fermi level comes out at 1.785 states/eV/f.u. The symmetry is No. 123. The value obtained for the density is 5.7 g/cm3.

Structure (POSCAR):
```
GaCuO2F
1.0
3.778 0.000 0.000
0.000 3.778 0.000
0.000 0.000 3.733
Ga Cu O F
1 1 2 1
Cartesian
0.000 0.000 0.000 Ga
1.889 1.889 1.866 Cu
0.000 1.889 1.866 O
1.889 0.000 1.866 O
1.889 1.889 0.000 F
```